[1]
A plane-wave DFT calculation with PBE was carried out for an optimized crystal structure of Na4ZnRh3O8.

Cell lengths 6.3809, 6.3809, 6.3809 Å; angles 59.14, 59.14, 59.14 degrees
With the nearest neighbours (Å) after each atom.
Atoms (fractional coordinates):
Na (0.0000, 0.0000, 0.0000)  6 O 2.35
Na (0.0000, 0.5000, 0.5000)  6 O 2.41-2.42
Na (0.5000, 0.0000, 0.5000)  6 O 2.41-2.42
Na (0.5000, 0.5000, 0.0000)  6 O 2.41-2.42
Zn (0.5000, 0.5000, 0.5000)  6 O 2.16
Rh (0.0000, 0.0000, 0.5000)  6 O 2.08-2.09
Rh (0.0000, 0.5000, 0.0000)  6 O 2.08-2.09
Rh (0.5000, 0.0000, 0.0000)  6 O 2.08-2.09
O (0.2223, 0.7397, 0.7397)  2 Rh 2.08, 1 Zn 2.16
O (0.2328, 0.2328, 0.2328)  3 Rh 2.09
O (0.2603, 0.2603, 0.7777)  2 Rh 2.08, 1 Zn 2.16
O (0.2603, 0.7777, 0.2603)  2 Rh 2.08, 1 Zn 2.16
O (0.7397, 0.2223, 0.7397)  2 Rh 2.08, 1 Zn 2.16
O (0.7397, 0.7397, 0.2223)  2 Rh 2.08, 1 Zn 2.16
O (0.7672, 0.7672, 0.7672)  3 Rh 2.09
O (0.7777, 0.2603, 0.2603)  2 Rh 2.08, 1 Zn 2.16

**Uncorrected energy**: -87.358 eV per cell
**Crystal system**: trigonal
**Energy relative to the elements, uncorrected**: -1.193 eV per atom
**Density of states at the Fermi level**: 0.552 states/eV/atom

[2]
A plane-wave DFT calculation with PBE was carried out for an optimized crystal structure of Ac2CePu3Se6.

Cell lengths 9.5599, 9.5599, 8.5764 Å; angles 103.06, 103.06, 25.76 degrees
With the nearest neighbours (Å) after each atom.
Atoms (fractional coordinates):
Ac (0.1655, 0.1655, 0.3328)  6 Se 3.11-3.13
Ac (0.8345, 0.8345, 0.6672)  6 Se 3.11-3.13
Ce (0.5000, 0.5000, 0.0000)  6 Se 3.04-3.05
Pu (0.1673, 0.1673, 0.8358)  6 Se 2.92-3.00
Pu (0.5000, 0.5000, 0.5000)  6 Se 2.94-3.00
Pu (0.8327, 0.8327, 0.1642)  6 Se 2.92-3.00
Se (0.0059, 0.0059, 0.7489)  3 Pu 2.93-3.00, 2 Ce 3.05, 1 Ac 3.11
Se (0.3324, 0.3324, 0.9306)  3 Pu 2.92-3.00, 1 Ce 3.04, 2 Ac 3.11
Se (0.3378, 0.3378, 0.4032)  3 Pu 2.94, 3 Ac 3.12-3.13
Se (0.6622, 0.6622, 0.5968)  3 Pu 2.94, 3 Ac 3.12-3.13
Se (0.6676, 0.6676, 0.0694)  3 Pu 2.92-3.00, 1 Ce 3.04, 2 Ac 3.11
Se (0.9941, 0.9941, 0.2511)  3 Pu 2.93-3.00, 2 Ce 3.05, 1 Ac 3.11

**Uncorrected energy**: -98.195 eV per cell
**Crystal system**: monoclinic
**Energy relative to the elements, uncorrected**: -1.678 eV per atom
**Density of states at the Fermi level**: 2.481 states/eV/atom